A plane-wave DFT calculation with GGA+U was carried out for a relaxed NiAu3F crystal.

Cell lengths 4.5169, 4.5169, 4.5169 Å; angles 90.00, 90.00, 90.00 degrees
Positions (direct):
Au (0.5000, 0.0000, 0.0000)
Au (0.0000, 0.5000, 0.0000)
Au (0.0000, 0.0000, 0.5000)
F (0.0000, 0.0000, 0.0000)
Ni (0.5000, 0.5000, 0.5000)

Results
The calculation puts the total magnetization at 0.00 μB per formula unit. The crystal system is cubic. Its energy above the most stable polymorph in this dataset is 80.3 meV per atom. For the electronic total energy, the calculation gives -1.919 eV/atom.